The following is a DFT calculation (PBE-GGA) of a geometry-optimized Ca2As2W structure.

The structure belongs to space group I4/mmm (No. 139); the cell edges are 5.224, 5.224 and 8.301 Å and the angles 90.00°, 90.00° and 90.00°. The distinct sites, in fractional coordinates, are Ca at (0.000, 0.000, 0.159), As at (0.000, 0.500, 0.250) and W at (0.000, 0.000, 0.500).

The calculated total energy comes out at -4.5534 eV/atom. For the density of states at the Fermi level, the calculation gives 1.0 states/eV per cell. The energy of formation from the pure elements comes out at 698 meV/atom. Its polymorph energy (0 for the lowest one) is 1119.8 meV per atom.

The following is a DFT calculation (PBE-GGA) of a geometry-optimized CaAsW2 structure.

The structure belongs to space group C2/m (No. 12); the cell edges are 9.990, 3.258 and 4.967 Å and the angles 90.00°, 103.70° and 90.00°. The distinct sites, in fractional coordinates, are Ca at (0.000, 0.000, 0.000), As at (0.000, 0.500, 0.500) and W at (0.226, 0.000, 0.674).

The calculated total energy comes out at -7.6719 eV/atom. For the density of states at the Fermi level, the calculation gives 6.1 states/eV per cell. The energy of formation from the pure elements comes out at 467 meV/atom.

The following is a DFT calculation (PBE-GGA) of a geometry-optimized CaAsW2 structure.

The structure belongs to space group R3m (No. 160, hexagonal axes); the cell edges are 3.2697, 3.2697 and 25.9685 Å and the angles 90.00°, 90.00° and 120.00°. The distinct sites, in fractional coordinates, are Ca at (0.0000, 0.0000, 0.0000), As at (0.0000, 0.0000, 0.7589), W at (0.0000, 0.0000, 0.2325) and W at (0.0000, 0.0000, 0.4962).

The calculated total energy comes out at -7.8085 eV/atom. For the density of states at the Fermi level, the calculation gives 6.9 states/eV per cell. The energy of formation from the pure elements comes out at 331 meV/atom.

The following is a DFT calculation (PBE-GGA) of a geometry-optimized CaAsW2 structure.

The structure belongs to space group P2/m (No. 10); the cell edges are 2.836, 5.169 and 5.086 Å and the angles 90.00°, 91.60° and 90.00°. The distinct sites, in fractional coordinates, are Ca at (0.000, 0.000, 0.000), As at (0.500, 0.000, 0.500) and W at (0.393, 0.500, 0.747).

The calculated total energy comes out at -7.6156 eV/atom. For the density of states at the Fermi level, the calculation gives 3.2 states/eV per cell. The energy of formation from the pure elements comes out at 524 meV/atom.

The following is a DFT calculation (PBE-GGA) of a geometry-optimized CaAsW2 structure.

The structure belongs to space group Cmmm (No. 65); the cell edges are 3.396, 4.769 and 9.135 Å and the angles 90.00°, 90.00° and 90.00°. The distinct sites, in fractional coordinates, are Ca at (0.000, 0.000, 0.000), As at (0.000, 0.000, 0.500) and W at (0.000, 0.500, 0.288).

The calculated total energy comes out at -7.4371 eV/atom. For the density of states at the Fermi level, the calculation gives 3.8 states/eV per cell. The energy of formation from the pure elements comes out at 702 meV/atom.

The following is a DFT calculation (PBE-GGA) of a geometry-optimized CaAs2W structure.

The structure belongs to space group C2 (No. 5); the cell edges are 4.880, 13.852 and 3.377 Å and the angles 90.00°, 133.67° and 90.00°. The distinct sites, in fractional coordinates, are Ca at (0.000, 0.000, 0.000), As at (0.000, 0.383, 0.000), As at (0.000, 0.672, 0.500) and W at (0.000, 0.249, 0.500).

The calculated total energy comes out at -6.3408 eV/atom. For the density of states at the Fermi level, the calculation gives 6.7 states/eV per cell. The energy of formation from the pure elements comes out at -277 meV/atom. Its polymorph energy (0 for the lowest one) is 78.9 meV per atom.

The following is a DFT calculation (PBE-GGA) of a geometry-optimized CaAs2W structure.

The structure belongs to space group R3m (No. 160, hexagonal axes); the cell edges are 3.6590, 3.6590 and 21.4270 Å and the angles 90.00°, 90.00° and 120.00°. The distinct sites, in fractional coordinates, are Ca at (0.0000, 0.0000, 0.0000), As at (0.0000, 0.0000, 0.2334), As at (0.0000, 0.0000, 0.4257) and W at (0.0000, 0.0000, 0.8280).

The calculated total energy comes out at -6.3933 eV/atom. For the density of states at the Fermi level, the calculation gives 2.6 states/eV per cell. The energy of formation from the pure elements comes out at -330 meV/atom. Its polymorph energy (0 for the lowest one) is 26.4 meV per atom.

The following is a DFT calculation (PBE-GGA) of a geometry-optimized CaAsW2 structure.

The structure belongs to space group Pmmm (No. 47); the cell edges are 2.782, 4.969 and 5.448 Å and the angles 90.00°, 90.00° and 90.00°. The distinct sites, in fractional coordinates, are Ca at (0.000, 0.000, 0.000), As at (0.000, 0.000, 0.500) and W at (0.500, 0.500, 0.247).

The calculated total energy comes out at -7.2884 eV/atom. For the density of states at the Fermi level, the calculation gives 3.2 states/eV per cell. The energy of formation from the pure elements comes out at 851 meV/atom.

The following is a DFT calculation (PBE-GGA) of a geometry-optimized CaAs2W2 structure.

The structure belongs to space group I4/mmm (No. 139); the cell edges are 4.809, 4.809 and 8.893 Å and the angles 90.00°, 90.00° and 90.00°. The distinct sites, in fractional coordinates, are Ca at (0.000, 0.000, 0.000), As at (0.000, 0.500, 0.250) and W at (0.000, 0.000, 0.370).

The calculated total energy comes out at -7.4464 eV/atom. For the density of states at the Fermi level, the calculation gives 6.8 states/eV per cell. The energy of formation from the pure elements comes out at -5 meV/atom.

The following is a DFT calculation (PBE-GGA) of a geometry-optimized CaAs2W structure.

The structure belongs to space group R-3m (No. 166, hexagonal axes); the cell edges are 3.7267, 3.7267 and 20.5401 Å and the angles 90.00°, 90.00° and 120.00°. The distinct sites, in fractional coordinates, are Ca at (0.0000, 0.0000, 0.0000), As at (0.0000, 0.0000, 0.2380) and W at (0.0000, 0.0000, 0.5000).

The calculated total energy comes out at -6.4197 eV/atom. For the density of states at the Fermi level, the calculation gives 2.5 states/eV per cell. The energy of formation from the pure elements comes out at -356 meV/atom. Its polymorph energy (0 for the lowest one) is 0.0 meV per atom.

The following is a DFT calculation (PBE-GGA) of a geometry-optimized CaAsW2 structure.

The structure belongs to space group Cmm2 (No. 35); the cell edges are 3.433, 4.870 and 8.963 Å and the angles 90.00°, 90.00° and 90.00°. The distinct sites, in fractional coordinates, are Ca at (0.000, 0.000, 0.000), As at (0.000, 0.500, 0.734), W at (0.000, 0.000, 0.509) and W at (0.000, 0.500, 0.287).

The calculated total energy comes out at -7.7695 eV/atom. For the density of states at the Fermi level, the calculation gives 4.6 states/eV per cell. The energy of formation from the pure elements comes out at 370 meV/atom.

The following is a DFT calculation (PBE-GGA) of a geometry-optimized CaAs2W structure.

The structure belongs to space group Cmm2 (No. 35); the cell edges are 3.685, 4.515 and 10.458 Å and the angles 90.00°, 90.00° and 90.00°. The distinct sites, in fractional coordinates, are Ca at (0.000, 0.000, 0.000), As at (0.000, 0.000, 0.427), As at (0.000, 0.500, 0.775) and W at (0.000, 0.500, 0.247).

The calculated total energy comes out at -5.8002 eV/atom. For the density of states at the Fermi level, the calculation gives 3.6 states/eV per cell. The energy of formation from the pure elements comes out at 263 meV/atom. Its polymorph energy (0 for the lowest one) is 619.5 meV per atom.

The following is a DFT calculation (PBE-GGA) of a geometry-optimized CaAsW2 structure.

The structure belongs to space group Pmmm (No. 47); the cell edges are 3.420, 4.357 and 4.946 Å and the angles 90.00°, 90.00° and 90.00°. The distinct sites, in fractional coordinates, are Ca at (0.000, 0.000, 0.000), As at (0.500, 0.500, 0.000), W at (0.000, 0.500, 0.500) and W at (0.500, 0.000, 0.500).

The calculated total energy comes out at -7.5440 eV/atom. For the density of states at the Fermi level, the calculation gives 4.4 states/eV per cell. The energy of formation from the pure elements comes out at 595 meV/atom.

The following is a DFT calculation (PBE-GGA) of a geometry-optimized Ca2As2W structure.

The structure belongs to space group P4/mbm (No. 127); the cell edges are 6.881, 6.881 and 4.466 Å and the angles 90.00°, 90.00° and 90.00°. The distinct sites, in fractional coordinates, are Ca at (0.169, 0.331, 0.000), As at (0.148, 0.648, 0.500) and W at (0.000, 0.000, 0.500).

The calculated total energy comes out at -5.6732 eV/atom. For the density of states at the Fermi level, the calculation gives 3.3 states/eV per cell. The energy of formation from the pure elements comes out at -422 meV/atom. Its polymorph energy (0 for the lowest one) is 0.0 meV per atom.

The following is a DFT calculation (PBE-GGA) of a geometry-optimized CaAsW structure.

The structure belongs to space group P-6m2 (No. 187); the cell edges are 4.2806, 4.2806 and 4.2405 Å and the angles 90.00°, 90.00° and 120.00°. The distinct sites, in fractional coordinates, are Ca at (0.0000, 0.0000, 0.0000), As at (0.6667, 0.3333, 0.5000) and W at (0.3333, 0.6667, 0.5000).

The calculated total energy comes out at -6.3597 eV/atom. For the density of states at the Fermi level, the calculation gives 2.0 states/eV per cell. The energy of formation from the pure elements comes out at 175 meV/atom. Its polymorph energy (0 for the lowest one) is 163.6 meV per atom.